# Ce2B2Ir5Pt PBE relaxed
# E_tot   -8.121 eV/atom
# ΔE_f   -564.1 meV per atom
data_Ce2B2Ir5Pt
_chemical_formula_sum 'Ce4 B4 Ir10 Pt2'
_space_group_name_H-M_alt 'P 4/m b m'
_space_group_IT_number 127
_space_group_name_Hall '-P 4 2ab'
_cell_length_a 9.3132
_cell_length_b 9.3132
_cell_length_c 3.5104
_cell_angle_alpha 90.00
_cell_angle_beta 90.00
_cell_angle_gamma 90.00
loop_
_atom_site_label
_atom_site_type_symbol
_atom_site_fract_x
_atom_site_fract_y
_atom_site_fract_z
_atom_site_occupancy
Ce1 Ce 0.1798 0.3202 0.0000 1
B1 B 0.1192 0.6192 0.0000 1
Ir1 Ir 0.0000 0.5000 0.5000 1
Ir2 Ir 0.0713 0.7798 0.5000 1
Pt1 Pt 0.0000 0.0000 0.0000 1